Compound: CoSn6Au3
Source: the Alexandria database
Functional: PBE
Structure: optimized geometry

Unit cell a=7.115 b=6.653 c=9.678 alpha=90.00 beta=92.71 gamma=90.00
Fractional coordinates of all 20 atoms:
Au  0.482  0.176  0.288
Sn  0.837  0.626  0.590
Sn  0.845  0.058  0.230
Sn  0.345  0.442  0.730
Sn  0.337  0.874  0.090
Sn  0.655  0.558  0.270
Sn  0.337  0.830  0.422
Au  0.018  0.676  0.212
Sn  0.163  0.374  0.410
Au  0.518  0.824  0.712
Au  0.500  0.500  0.000
Sn  0.663  0.170  0.578
Co  0.000  0.000  0.000
Au  0.000  0.000  0.500
Sn  0.837  0.670  0.922
Au  0.982  0.324  0.788
Sn  0.163  0.330  0.078
Sn  0.155  0.942  0.770
Sn  0.663  0.126  0.910
Co  0.500  0.500  0.500

Summary:
Formation energy from the elements   -0.108 eV per atom
Calculated density   9.886 g cm⁻³
Space group   P2_1/c
Calculated total energy   -42.0 eV per formula unit